Entry 1:
Material: As2IrOs
Method: DFT, meta-GGA SCAN
State: single point on PBEsol structure

Unit cell a=2.891 b=2.891 c=7.891 alpha=90.00 beta=90.00 gamma=90.00
Atoms (fractional coordinates):
1 As 0.000 0.000 0.941
2 As 0.500 0.500 0.306
3 Ir 0.000 0.000 0.502
4 Os 0.500 0.500 0.751

Calculated values
Offset from the most stable computed form in meV per atom: 0
Space-group type: P4mm, No. 99

Entry 2:
Material: AsPIr
Method: DFT, meta-GGA SCAN
State: single point on PBEsol structure

Unit cell a=3.387 b=3.387 c=4.931 alpha=90.00 beta=90.00 gamma=120.00
Atoms (fractional coordinates):
1 P 0.667 0.333 0.383
2 As 0.000 0.000 0.977
3 Ir 0.333 0.667 0.640

Calculated values
Offset from the most stable computed form in meV per atom: 0
Space-group type: P3m1, No. 156

Entry 3:
Material: AsPIr2
Method: DFT, meta-GGA SCAN
State: single point on PBEsol structure

Unit cell a=2.928 b=2.928 c=7.852 alpha=79.26 beta=79.26 gamma=60.00
Atoms (fractional coordinates):
1 As 0.000 0.000 0.000
2 Ir 0.242 0.242 0.273
3 Ir 0.758 0.758 0.727
4 P 0.500 0.500 0.500

Calculated values
Energy in eV/cell: -172.76
Space-group type: R-3m, No. 166

Entry 4:
Material: AsPIr
Method: DFT, meta-GGA SCAN
State: single point on PBEsol structure

Unit cell a=2.912 b=4.128 c=4.533 alpha=117.09 beta=108.73 gamma=90.00
Atoms (fractional coordinates):
1 P 0.337 0.337 0.674
2 As 0.009 0.009 0.017
3 Ir 0.654 0.654 0.309

Calculated values
Offset from the most stable computed form in meV per atom: 608
Space-group type: Imm2, No. 44

Entry 5:
Material: AsPIr2Pd
Method: DFT, meta-GGA SCAN
State: single point on PBEsol structure

Unit cell a=4.315 b=4.315 c=4.696 alpha=90.00 beta=90.00 gamma=90.00
Atoms (fractional coordinates):
1 P 0.000 0.000 0.000
2 As 0.000 0.000 0.500
3 Ir 0.000 0.500 0.000
4 Ir 0.500 0.000 0.000
5 Pd 0.500 0.500 0.500

Calculated values
Energy in eV/cell: -201.50
Space-group type: P4/mmm, No. 123

Entry 6:
Material: As4IrPb
Method: DFT, meta-GGA SCAN
State: single point on PBEsol structure

Unit cell a=5.492 b=5.492 c=5.492 alpha=60.00 beta=60.00 gamma=60.00
Atoms (fractional coordinates):
1 Pb 0.000 0.000 0.000
2 As 0.375 0.375 0.375
3 As 0.375 0.375 0.875
4 As 0.875 0.375 0.375
5 As 0.375 0.875 0.375
6 Ir 0.750 0.750 0.750

Calculated values
Energy in eV/cell: -222.60
Space-group type: F-43m, No. 216

Entry 7:
Material: AsIrPb2
Method: DFT, meta-GGA SCAN
State: single point on PBEsol structure

Unit cell a=4.924 b=4.924 c=4.924 alpha=60.00 beta=60.00 gamma=60.00
Atoms (fractional coordinates):
1 Pb 0.250 0.250 0.250
2 Pb 0.750 0.750 0.750
3 As 0.000 0.000 0.000
4 Ir 0.500 0.500 0.500

Calculated values
Offset from the most stable computed form in meV per atom: 24
Space-group type: Fm-3m, No. 225

Entry 8:
Material: AsIrPb2
Method: DFT, meta-GGA SCAN
State: single point on PBEsol structure

Unit cell a=3.928 b=4.657 c=4.657 alpha=90.00 beta=90.00 gamma=90.00
Atoms (fractional coordinates):
1 Pb 0.000 0.000 0.500
2 Pb 0.000 0.500 0.000
3 As 0.500 0.500 0.500
4 Ir 0.500 0.000 0.000

Calculated values
Offset from the most stable computed form in meV per atom: 0
Space-group type: P4/mmm, No. 123

Entry 9:
Material: AsIrPb
Method: DFT, meta-GGA SCAN
State: single point on PBEsol structure

Unit cell a=4.552 b=4.552 c=4.552 alpha=60.00 beta=60.00 gamma=60.00
Atoms (fractional coordinates):
1 Pb 0.750 0.750 0.750
2 As 0.000 0.000 0.000
3 Ir 0.500 0.500 0.500

Calculated values
Offset from the most stable computed form in meV per atom: 941
Space-group type: F-43m, No. 216

Entry 10:
Material: AsIrPb
Method: DFT, meta-GGA SCAN
State: single point on PBEsol structure

Unit cell a=3.006 b=3.247 c=6.649 alpha=104.13 beta=103.06 gamma=90.00
Atoms (fractional coordinates):
1 Pb 0.315 0.315 0.630
2 As 0.043 0.043 0.086
3 Ir 0.642 0.642 0.284

Calculated values
Offset from the most stable computed form in meV per atom: 0
Space-group type: Imm2, No. 44

Entry 11:
Material: As2Ir2Pd
Method: DFT, meta-GGA SCAN
State: single point on PBEsol structure

Unit cell a=3.845 b=3.845 c=6.185 alpha=108.11 beta=108.11 gamma=90.00
Atoms (fractional coordinates):
1 As 0.250 0.750 0.500
2 As 0.750 0.250 0.500
3 Ir 0.386 0.386 0.772
4 Ir 0.614 0.614 0.228
5 Pd 0.000 0.000 0.000

Calculated values
Energy in eV/cell: -215.20
Space-group type: I4/mmm, No. 139

Entry 12:
Material: AsIr2Pt
Method: DFT, meta-GGA SCAN
State: single point on PBEsol structure

Unit cell a=2.754 b=4.630 c=5.368 alpha=115.55 beta=104.87 gamma=90.00
Atoms (fractional coordinates):
1 As 0.259 0.759 0.517
2 Ir 0.991 0.991 0.982
3 Ir 0.742 0.242 0.484
4 Pt 0.508 0.508 0.017

Calculated values
Energy in eV/cell: -231.64
Space-group type: Imm2, No. 44

Number 1: D(E_F) 0.61 states/eV per atom. Number 2: D(E_F) 0.51 states/eV per atom. Number 3: D(E_F) 0.61 states/eV per atom. Number 4: D(E_F) 0.40 states/eV per atom. Number 5: D(E_F) 0.71 states/eV per atom. Number 6: D(E_F) 0.79 states/eV per atom. Number 7: D(E_F) 0.83 states/eV per atom. Number 8: D(E_F) 0.62 states/eV per atom. Number 9: D(E_F) 0.61 states/eV per atom. Number 10: D(E_F) 0.50 states/eV per atom. Number 11: D(E_F) 0.33 states/eV per atom. Number 12: D(E_F) 0.74 states/eV per atom.